DFT (PBE) results for AsRuRh2 after structural relaxation.

Cell and atoms, written as CIF:
```
data_AsRuRh2
_space_group_name_H-M_alt 'A m m 2'
_space_group_IT_number 38
_space_group_name_Hall 'A 2 -2'
_cell_length_a 3.900
_cell_length_b 2.866
_cell_length_c 10.406
_cell_angle_alpha 90.00
_cell_angle_beta 90.00
_cell_angle_gamma 90.00
loop_
_atom_site_label
_atom_site_type_symbol
_atom_site_fract_x
_atom_site_fract_y
_atom_site_fract_z
As1 As 0.000 0.000 0.000
Ru1 Ru 0.500 0.000 0.855
Rh1 Rh 0.000 0.000 0.238
Rh2 Rh 0.500 0.000 0.593
```

For the total energy, the calculation gives -7.216 eV/atom. The magnetic moment comes out at 0.0 μB per formula unit. Its calculated formation energy is -59 meV per atom.